No. 1
BOsIO2 (PBE, optimized geometry); energy relative to the lowest polymorph listed for this composition = 3.89 eV/f.u.; calculated volume = 80.1 Å³/cell; raw formation energy = 1.0879 eV/atom
1.0
-2.3827 0.5935 -2.4911
-2.5282 -1.0869 2.1592
-0.7627 6.1196 2.1874
O I B Os
2 1 1 1
Direct
0.5000 0.0000 0.0000
0.0000 0.5000 0.0000
0.0000 0.0000 0.5000
0.0000 0.0000 0.0000
0.5000 0.5000 0.5000



No. 2
BP2IO (PBE, optimized geometry); energy relative to the lowest polymorph listed for this composition = 6.11 eV/f.u.; calculated volume = 105.0 Å³/cell; raw formation energy = 1.8380 eV/atom
1.0
5.1828 0.0000 0.0000
0.0000 5.1828 0.0000
0.0000 0.0000 3.9075
P O B I
2 1 1 1
Direct
0.5000 0.0000 0.0000
0.0000 0.5000 0.0000
0.0000 0.0000 0.5000
0.5000 0.5000 0.5000
0.0000 0.0000 0.0000



No. 3
BP2IO (PBE, optimized geometry); energy relative to the lowest polymorph listed for this composition = 0.00 eV/f.u.; calculated volume = 73.6 Å³/cell; raw formation energy = 0.6158 eV/atom
1.0
-3.4594 1.5724 -3.0989
2.1728 -2.4339 -3.6604
-1.6936 -2.4703 0.6372
I P O B
1 2 1 1
Direct
0.5000 0.5000 0.5000
0.5000 0.0000 0.0000
0.0000 0.5000 0.0000
0.0000 0.0000 0.5000
0.0000 0.0000 0.0000



No. 4
PaBIO4 (PBE, optimized geometry); calculated volume = 206.4 Å³/cell; raw formation energy = -2.4248 eV/atom
1.0
-5.6993 -1.6440 -1.9453
-1.8646 -5.9461 0.3684
-2.9596 0.3043 5.4711
B O I Pa
2 8 2 2
Direct
0.6372 0.6372 0.7375
0.3628 0.3628 0.2625
0.4966 0.8725 0.8550
0.1275 0.5034 0.1450
0.5011 0.5011 0.2327
0.3093 0.3093 0.4933
0.6907 0.6907 0.5067
0.5034 0.1275 0.1450
0.8725 0.4966 0.8550
0.4989 0.4989 0.7673
0.9822 0.9822 0.7354
0.0178 0.0178 0.2646
0.3033 0.3033 0.8231
0.6967 0.6967 0.1769



No. 5
BPbI2O (PBE, optimized geometry); energy relative to the lowest polymorph listed for this composition = 0.00 eV/f.u.; calculated volume = 115.3 Å³/cell; raw formation energy = 0.1078 eV/atom
1.0
-5.2379 -2.5268 -1.5830
2.6821 -2.5946 -4.7329
0.6860 -2.5369 1.7795
O B Pb I
1 1 1 2
Direct
0.0000 0.0000 0.5000
0.0000 0.0000 0.0000
0.5000 0.5000 0.5000
0.0000 0.5000 0.0000
0.5000 0.0000 0.0000



No. 6
BPbI2O (PBE, optimized geometry); energy relative to the lowest polymorph listed for this composition = 3.21 eV/f.u.; calculated volume = 163.2 Å³/cell; raw formation energy = 0.7495 eV/atom
1.0
-3.0096 -1.1049 -5.3368
-0.0922 -6.0853 1.3119
-3.6860 0.4824 1.9788
B I Pb O
1 2 1 1
Direct
0.5000 0.5000 0.5000
0.0000 0.5000 0.0000
0.5000 0.0000 0.0000
0.0000 0.0000 0.0000
0.0000 0.0000 0.5000



No. 7
BPbIO6 (PBE, optimized geometry); calculated volume = 116.6 Å³/cell; raw formation energy = -0.9681 eV/atom
1.0
-1.4453 4.3786 2.1177
0.9725 0.6377 4.5478
4.9560 2.3239 -0.8777
B O Pb I
1 6 1 1
Direct
0.7722 0.6139 0.5000
0.6007 0.4774 0.6509
0.3790 0.0819 0.7863
0.6006 0.9219 0.3491
0.3790 0.5390 0.2137
0.9882 0.6663 0.6459
0.9882 0.3455 0.3540
0.9451 0.0275 0.0000
0.3467 0.3266 0.5000



No. 8
BPdIO2 (PBE, optimized geometry); energy relative to the lowest polymorph listed for this composition = 0.00 eV/f.u.; calculated volume = 84.9 Å³/cell; raw formation energy = 0.2985 eV/atom
1.0
3.4770 0.0000 0.0000
0.0000 3.4770 0.0000
0.0000 0.0000 7.0197
I O Pd B
1 2 1 1
Direct
0.0000 0.0000 0.5000
0.0000 0.5000 0.0000
0.5000 0.0000 0.0000
0.5000 0.5000 0.5000
0.0000 0.0000 0.0000



No. 9
BPdIO2 (PBE, optimized geometry); energy relative to the lowest polymorph listed for this composition = 2.68 eV/f.u.; calculated volume = 112.8 Å³/cell; raw formation energy = 0.8336 eV/atom
1.0
-0.7496 3.2877 -1.7446
-2.1976 -1.8272 -2.4991
-6.1919 1.0645 4.6666
O Pd B I
2 1 1 1
Direct
0.5000 0.0000 0.0000
0.0000 0.5000 0.0000
0.0000 0.0000 0.0000
0.5000 0.5000 0.5000
0.0000 0.0000 0.5000



No. 10
BPtIO2 (PBE, optimized geometry); energy relative to the lowest polymorph listed for this composition = 0.00 eV/f.u.; calculated volume = 88.1 Å³/cell; raw formation energy = 0.4801 eV/atom
1.0
3.5014 0.0000 0.0000
0.0000 3.5014 0.0000
0.0000 0.0000 7.1836
B O I Pt
1 2 1 1
Direct
0.0000 0.0000 0.0000
0.0000 0.5000 0.0000
0.5000 0.0000 0.0000
0.0000 0.0000 0.5000
0.5000 0.5000 0.5000



No. 11
BPtIO2 (PBE, optimized geometry); energy relative to the lowest polymorph listed for this composition = 0.94 eV/f.u.; calculated volume = 119.2 Å³/cell; raw formation energy = 0.6677 eV/atom
1.0
3.7663 0.0000 0.0000
0.0000 3.7663 0.0000
0.0000 0.0000 8.4016
Pt O B I
1 2 1 1
Direct
0.0000 0.0000 0.0000
0.5000 0.0000 0.0000
0.0000 0.5000 0.0000
0.5000 0.5000 0.5000
0.0000 0.0000 0.5000



No. 12
ReBIO2 (PBE, optimized geometry); energy relative to the lowest polymorph listed for this composition = 5.54 eV/f.u.; calculated volume = 66.3 Å³/cell; raw formation energy = 1.2364 eV/atom
1.0
3.7196 0.0000 0.0000
0.0000 3.7196 0.0000
0.0000 0.0000 4.7900
B Re I O
1 1 1 2
Direct
0.0000 0.0000 0.0000
0.5000 0.5000 0.5000
0.0000 0.0000 0.5000
0.5000 0.0000 0.0000
0.0000 0.5000 0.0000



No. 13
ReBIO2 (PBE, optimized geometry); energy relative to the lowest polymorph listed for this composition = 0.00 eV/f.u.; calculated volume = 85.9 Å³/cell; raw formation energy = 0.1294 eV/atom
1.0
-2.6860 2.6776 -0.1411
-2.1968 -2.0831 2.2888
2.4146 2.6726 4.7501
I Re B O
1 1 1 2
Direct
0.0000 0.0000 0.5000
0.0000 0.0000 0.0000
0.5000 0.5000 0.5000
0.5000 0.0000 0.0000
0.0000 0.5000 0.0000



No. 14
BSb2IO (PBE, optimized geometry); energy relative to the lowest polymorph listed for this composition = 0.00 eV/f.u.; calculated volume = 128.6 Å³/cell; raw formation energy = 0.8977 eV/atom
1.0
-2.4410 -3.6443 0.7975
2.5986 -2.3448 -2.7612
3.8856 -1.5199 4.9474
Sb O I B
2 1 1 1
Direct
0.0000 0.5000 0.0000
0.5000 0.0000 0.0000
0.0000 0.0000 0.0000
0.0000 0.0000 0.5000
0.5000 0.5000 0.5000



No. 15
BSb2IO (PBE, optimized geometry); energy relative to the lowest polymorph listed for this composition = 0.90 eV/f.u.; calculated volume = 111.6 Å³/cell; raw formation energy = 1.0785 eV/atom
1.0
4.8390 0.0000 0.0000
0.0000 4.8390 0.0000
0.0000 0.0000 4.7675
Sb B I O
2 1 1 1
Direct
0.5000 0.0000 0.0000
0.0000 0.5000 0.0000
0.0000 0.0000 0.0000
0.0000 0.0000 0.5000
0.5000 0.5000 0.5000



No. 16
ScBI2O (PBE, optimized geometry); energy relative to the lowest polymorph listed for this composition = 0.00 eV/f.u.; calculated volume = 135.0 Å³/cell; raw formation energy = -0.3061 eV/atom
1.0
-4.2864 0.2184 -4.0434
-3.0725 -4.0105 3.0405
-1.7369 2.8430 1.9948
B O I Sc
1 1 2 1
Direct
0.5000 0.5000 0.5000
0.0000 0.0000 0.5000
0.0000 0.5000 0.0000
0.5000 0.0000 0.0000
0.0000 0.0000 0.0000



No. 17
ScBI2O (PBE, optimized geometry); energy relative to the lowest polymorph listed for this composition = 1.36 eV/f.u.; calculated volume = 100.3 Å³/cell; raw formation energy = -0.0338 eV/atom
1.0
-2.3749 4.5461 -2.0598
-0.8773 -2.6258 -4.7839
-2.9185 -1.0268 1.0988
Sc I B O
1 2 1 1
Direct
0.5000 0.5000 0.5000
0.0000 0.5000 0.0000
0.5000 0.0000 0.0000
0.0000 0.0000 0.0000
0.0000 0.0000 0.5000



No. 18
ScBIO2 (PBE, optimized geometry); energy relative to the lowest polymorph listed for this composition = 0.00 eV/f.u.; calculated volume = 101.2 Å³/cell; raw formation energy = -0.4810 eV/atom
1.0
-3.7956 1.1750 -0.2476
-0.1146 -1.1715 -3.8030
-1.9171 -5.8041 1.8458
O Sc B I
2 1 1 1
Direct
0.5000 0.0000 0.0000
0.0000 0.5000 0.0000
0.0000 0.0000 0.0000
0.5000 0.5000 0.5000
0.0000 0.0000 0.5000



No. 19
ScBIO2 (PBE, optimized geometry); energy relative to the lowest polymorph listed for this composition = 4.14 eV/f.u.; calculated volume = 76.5 Å³/cell; raw formation energy = 0.3479 eV/atom
1.0
4.0827 0.0000 0.0000
0.0000 4.5894 0.0000
0.0000 0.0000 4.0827
O I B Sc
2 1 1 1
Direct
0.0000 0.0000 0.5000
0.5000 0.0000 0.0000
0.0000 0.0000 0.0000
0.0000 0.5000 0.0000
0.5000 0.5000 0.5000



No. 20
ScBIO2 (PBE, optimized geometry); energy relative to the lowest polymorph listed for this composition = 1.88 eV/f.u.; calculated volume = 68.0 Å³/cell; raw formation energy = -0.1049 eV/atom
1.0
3.8909 0.0000 0.0000
0.0000 3.8909 0.0000
0.0000 0.0000 4.4930
B I O Sc
1 1 2 1
Direct
0.0000 0.0000 0.0000
0.0000 0.0000 0.5000
0.5000 0.0000 0.0000
0.0000 0.5000 0.0000
0.5000 0.5000 0.5000



Computed mass density (g cm⁻³) in order:
7.5; 3.4; 4.9; 7.0; 7.0; 5.0; 6.3; 5.4; 4.1; 6.9; 5.1; 8.9; 6.9; 5.1; 5.9; 4.0; 5.4; 3.5; 4.7; 5.2
Computed total moment (μB per formula unit) in order:
1.13; 0.00; 0.00; 0.00; 0.00; 0.00; 0.00; 0.00; 0.10; 0.00; 0.34; 3.10; 0.49; 0.00; 0.51; 0.00; 0.00; 0.00; 0.00; 0.00